{
  "formula": "NaScTi",
  "functional": "GGA-PBE",
  "state": "relaxed",
  "lattice_angstrom": [[4.670, 0.000, 0.000], [0.000, 5.598, 0.000], [0.000, 0.000, 10.584]],
  "species": ["Na", "Na", "Na", "Na", "Sc", "Sc", "Sc", "Sc", "Ti", "Ti", "Ti", "Ti"],
  "fractional_positions": [[0.248, 0.250, 0.173], [0.252, 0.750, 0.673], [0.748, 0.250, 0.327], [0.752, 0.750, 0.827], [0.248, 0.250, 0.520], [0.252, 0.750, 0.020], [0.748, 0.250, 0.980], [0.752, 0.750, 0.480], [0.246, 0.250, 0.798], [0.254, 0.750, 0.298], [0.746, 0.250, 0.702], [0.754, 0.750, 0.202]],
  "relative_energy_ev_per_atom": 0.437
}

***

{
  "formula": "NaSc2Ti",
  "functional": "GGA-PBE",
  "state": "relaxed",
  "lattice_angstrom": [[7.698, 0.000, 0.000], [0.000, 7.698, 0.000], [0.000, 0.000, 6.249]],
  "species": ["Na", "Na", "Na", "Na", "Sc", "Sc", "Sc", "Sc", "Sc", "Sc", "Sc", "Sc", "Ti", "Ti", "Ti", "Ti"],
  "fractional_positions": [[0.000, 0.000, 0.000], [0.000, 0.500, 0.250], [0.500, 0.000, 0.750], [0.500, 0.500, 0.500], [0.246, 0.250, 0.125], [0.250, 0.746, 0.375], [0.250, 0.754, 0.875], [0.254, 0.250, 0.625], [0.746, 0.750, 0.625], [0.750, 0.246, 0.875], [0.750, 0.254, 0.375], [0.754, 0.750, 0.125], [0.000, 0.000, 0.500], [0.000, 0.500, 0.750], [0.500, 0.000, 0.250], [0.500, 0.500, 0.000]],
  "relative_energy_ev_per_atom": 0.491
}

***

{
  "formula": "NaScTi",
  "functional": "GGA-PBE",
  "state": "relaxed",
  "lattice_angstrom": [[3.108, 0.000, 0.000], [0.000, 4.717, 0.000], [-1.512, 0.000, 10.092]],
  "species": ["Na", "Na", "Sc", "Sc", "Ti", "Ti"],
  "fractional_positions": [[0.198, 0.250, 0.399], [0.802, 0.750, 0.601], [0.408, 0.250, 0.810], [0.592, 0.750, 0.190], [0.026, 0.250, 0.055], [0.974, 0.750, 0.945]],
  "relative_energy_ev_per_atom": 0.101
}

***

{
  "formula": "NaScTi",
  "functional": "GGA-PBE",
  "state": "relaxed",
  "lattice_angstrom": [[3.057, 0.000, 0.000], [1.513, 5.129, 0.000], [1.489, 1.240, 9.224]],
  "species": ["Na", "Na", "Sc", "Sc", "Ti", "Ti"],
  "fractional_positions": [[0.000, 0.000, 0.000], [0.340, 0.508, 0.817], [0.328, 0.973, 0.368], [0.648, 0.481, 0.220], [0.016, 0.475, 0.496], [0.680, 0.023, 0.622]],
  "relative_energy_ev_per_atom": 0.216
}

***

{
  "formula": "NaScTi",
  "functional": "GGA-PBE",
  "state": "relaxed",
  "lattice_angstrom": [[3.447, 0.000, 0.000], [0.000, 3.447, 0.000], [0.000, 0.000, 13.060]],
  "species": ["Na", "Na", "Sc", "Sc", "Ti", "Ti"],
  "fractional_positions": [[0.250, 0.250, 0.115], [0.750, 0.750, 0.885], [0.250, 0.250, 0.680], [0.750, 0.750, 0.320], [0.250, 0.250, 0.456], [0.750, 0.750, 0.544]],
  "relative_energy_ev_per_atom": 0.000
}

***

{
  "formula": "NaScTi3",
  "functional": "GGA-PBE",
  "state": "relaxed",
  "lattice_angstrom": [[4.772, 0.000, 0.000], [0.000, 4.772, 0.000], [0.000, 0.000, 4.772]],
  "species": ["Na", "Sc", "Ti", "Ti", "Ti"],
  "fractional_positions": [[0.000, 0.000, 0.000], [0.500, 0.500, 0.500], [0.000, 0.000, 0.500], [0.000, 0.500, 0.000], [0.500, 0.000, 0.000]],
  "relative_energy_ev_per_atom": 0.135
}

***

{
  "formula": "NaScTl2",
  "functional": "GGA-PBE",
  "state": "relaxed",
  "lattice_angstrom": [[8.066, 0.000, 0.000], [0.000, 8.066, 0.000], [0.000, 0.000, 6.829]],
  "species": ["Na", "Na", "Na", "Na", "Sc", "Sc", "Sc", "Sc", "Tl", "Tl", "Tl", "Tl", "Tl", "Tl", "Tl", "Tl"],
  "fractional_positions": [[0.000, 0.000, 0.000], [0.000, 0.500, 0.250], [0.500, 0.000, 0.750], [0.500, 0.500, 0.500], [0.000, 0.000, 0.500], [0.000, 0.500, 0.750], [0.500, 0.000, 0.250], [0.500, 0.500, 0.000], [0.244, 0.250, 0.625], [0.250, 0.744, 0.875], [0.250, 0.756, 0.375], [0.256, 0.250, 0.125], [0.744, 0.750, 0.125], [0.750, 0.244, 0.375], [0.750, 0.256, 0.875], [0.756, 0.750, 0.625]]
}

***

{
  "formula": "NaSc3Tl",
  "functional": "GGA-PBE",
  "state": "relaxed",
  "lattice_angstrom": [[5.160, 0.000, 0.000], [0.000, 5.160, 0.000], [0.000, 0.000, 5.160]],
  "species": ["Na", "Sc", "Sc", "Sc", "Tl"],
  "fractional_positions": [[0.000, 0.000, 0.000], [0.000, 0.000, 0.500], [0.000, 0.500, 0.000], [0.500, 0.000, 0.000], [0.500, 0.500, 0.500]],
  "relative_energy_ev_per_atom": 0.366
}

***

Total energy readings, ordered: -4.632, -4.751, -4.968, -4.854, -5.070, -4.874, -2.990, -3.659 eV/atom